1.
The following is a GGA-PBE calculation of a relaxed KCrAgB2 crystal, from the Alexandria database.

For the total energy, the calculation gives -18.9 eV for the cell shown. The volume is 97 Å³/cell.

The structure belongs to space group P4/mmm (No. 123); the cell edges are 4.316, 4.316 and 5.208 Å and the angles 90.00°, 90.00° and 90.00°. The asymmetric unit holds K at (0.000, 0.000, 0.000), Cr at (0.500, 0.500, 0.000), Ag at (0.500, 0.500, 0.500) and B at (0.000, 0.500, 0.500).


2.
The following is a GGA-PBE calculation of a relaxed LiCr2AgB crystal, from the Alexandria database.

For the total energy, the calculation gives -22.9 eV for the cell shown. The volume is 60 Å³/cell.

The structure belongs to space group P4/mmm (No. 123); the cell edges are 4.050, 4.050 and 3.680 Å and the angles 90.00°, 90.00° and 90.00°. The asymmetric unit holds Li at (0.000, 0.000, 0.000), Cr at (0.000, 0.500, 0.000), Ag at (0.500, 0.500, 0.500) and B at (0.000, 0.000, 0.500).


What formation energy from the elements values result from the calculations? In sequence: 1.5955; 1.5580 eV/atom.